## BaSc2Co (PBE-GGA)

Data for crystalline BaSc2Co at its relaxed geometry.

Values from the calculation:
offset from the most stable computed form = 113 meV per atom
formation energy from the elements = 0.15 eV/atom
symmetry = R-3m (166)
VASP energy = -5.2754 eV/atom

abc: 10.1304 10.1304 10.1304
angles: 20.89 20.89 20.89
Positions (direct):
Sc 0.1222 0.1222 0.1222
Sc 0.8778 0.8778 0.8778
Ba 0.0000 0.0000 0.0000
Co 0.5000 0.5000 0.5000

## LaH6IrPd2 (PBE-GGA)

Data for crystalline LaH6IrPd2 at its relaxed geometry.

Values from the calculation:
symmetry = Pnnm (58)
VASP energy = -4.7843 eV/atom

abc: 4.7683 4.8018 8.7480
angles: 90.00 89.99 90.00
Positions (direct):
H 0.7614 0.6172 0.1395
H 0.5000 0.3198 0.5855
H 0.2613 0.1171 0.3606
H 0.5000 0.6802 0.4145
H 0.2614 0.8828 0.6395
H 0.0000 0.1802 0.0855
H 0.7387 0.8829 0.6394
H 0.7386 0.1172 0.3605
H 0.2386 0.3828 0.8605
H 0.7613 0.3829 0.8606
H 0.0000 0.8198 0.9145
H 0.2387 0.6171 0.1394
La 0.5000 0.0000 0.0000
La 0.0000 0.5000 0.5000
Pd 0.0000 0.9188 0.2511
Pd 0.5000 0.4188 0.2489
Pd 0.0000 0.0812 0.7489
Pd 0.5000 0.5812 0.7511
Ir 0.5000 0.0000 0.5000
Ir 0.0000 0.5000 0.0000

## HfNi4 (PBE-GGA)

Data for crystalline HfNi4 at its relaxed geometry.

Values from the calculation:
formation energy from the elements = 1.37 eV/atom
symmetry = Pm-3m (221)
VASP energy = -5.2475 eV/atom

abc: 4.4813 4.4813 4.4813
angles: 90.00 90.00 90.00
Positions (direct):
Ni 0.5000 0.0000 0.5000
Ni 0.0000 0.0000 0.0000
Ni 0.0000 0.5000 0.5000
Ni 0.5000 0.5000 0.0000
Hf 0.5000 0.5000 0.5000

- Which value of VASP energy does entry 1 give?
  -5.2754 eV/atom

- What is the formula in the first record?
  BaSc2Co